Record 1
This record from the Alexandria database describes an optimized crystal structure of NpAgI4. The functional is GGA-PBE.

Cell and atoms, written as CIF:
```
data_NpAgI4
_chemical_formula_sum 'Np1 Ag1 I4'
_space_group_name_H-M_alt 'P 1 2/m 1'
_space_group_IT_number 10
_cell_length_a 7.538
_cell_length_b 4.454
_cell_length_c 7.632
_cell_angle_alpha 90.00
_cell_angle_beta 94.88
_cell_angle_gamma 90.00
loop_
_space_group_symop_operation_xyz
'x,y,z'
'-x,-y,-z'
'-x,y,-z'
'x,-y,z'
loop_
_atom_site_label
_atom_site_fract_x
_atom_site_fract_y
_atom_site_fract_z
Np1 0.000 0.000 0.000
Ag1 0.000 0.500 0.500
I1 0.221 0.000 0.676
I2 0.252 0.500 0.165
```

Values from the calculation:
Its energy relative to the elements, uncorrected is -60 kJ per mole of atoms.



Record 2
This record from the Alexandria database describes an optimized crystal structure of AlRe2Te. The functional is GGA-PBE.

Cell and atoms, written as CIF:
```
data_AlRe2Te
_chemical_formula_sum 'Al3 Re6 Te3'
_space_group_name_H-M_alt 'R 3 m'
_space_group_IT_number 160
_space_group_name_Hall 'R 3 -2"'
_cell_length_a 3.0844
_cell_length_b 3.0844
_cell_length_c 25.3449
_cell_angle_alpha 90.00
_cell_angle_beta 90.00
_cell_angle_gamma 120.00
loop_
_atom_site_label
_atom_site_fract_x
_atom_site_fract_y
_atom_site_fract_z
Al1 0.0000 0.0000 0.0000
Re1 0.0000 0.0000 0.4878
Re2 0.0000 0.0000 0.7415
Te1 0.0000 0.0000 0.2372
```

Values from the calculation:
Its energy relative to the elements, uncorrected is 38 kJ per mole of atoms.



Record 3
This record from the Alexandria database describes an optimized crystal structure of CoAsBr2. The functional is GGA-PBE.

Cell and atoms, written as CIF:
```
data_CoAsBr2
_chemical_formula_sum 'Co1 As1 Br2'
_space_group_name_H-M_alt 'P 4/m m m'
_space_group_IT_number 123
_space_group_name_Hall '-P 4 2'
_cell_length_a 4.922
_cell_length_b 4.922
_cell_length_c 3.329
_cell_angle_alpha 90.00
_cell_angle_beta 90.00
_cell_angle_gamma 90.00
loop_
_atom_site_label
_atom_site_fract_x
_atom_site_fract_y
_atom_site_fract_z
Co1 0.000 0.000 0.000
As1 0.500 0.500 0.000
Br1 0.000 0.500 0.500
```

Values from the calculation:
Its energy relative to the elements, uncorrected is 75 kJ per mole of atoms.



Record 4
This record from the Alexandria database describes an optimized crystal structure of SiPF3. The functional is GGA-PBE.

Cell and atoms, written as CIF:
```
data_SiPF3
_chemical_formula_sum 'Si1 P1 F3'
_space_group_name_H-M_alt 'P m -3 m'
_space_group_IT_number 221
_space_group_name_Hall '-P 4 2 3'
_cell_length_a 4.141
_cell_length_b 4.141
_cell_length_c 4.141
_cell_angle_alpha 90.00
_cell_angle_beta 90.00
_cell_angle_gamma 90.00
loop_
_atom_site_label
_atom_site_fract_x
_atom_site_fract_y
_atom_site_fract_z
Si1 0.000 0.000 0.000
P1 0.500 0.500 0.500
F1 0.000 0.000 0.500
```

Values from the calculation:
Its energy relative to the elements, uncorrected is -80 kJ per mole of atoms.



Record 5
This record from the Alexandria database describes an optimized crystal structure of LiCSeN2. The functional is GGA-PBE.

Cell and atoms, written as CIF:
```
data_LiCSeN2
_chemical_formula_sum 'Li1 C1 Se1 N2'
_space_group_name_H-M_alt 'P 4/m m m'
_space_group_IT_number 123
_space_group_name_Hall '-P 4 2'
_cell_length_a 3.106
_cell_length_b 3.106
_cell_length_c 8.028
_cell_angle_alpha 90.00
_cell_angle_beta 90.00
_cell_angle_gamma 90.00
loop_
_atom_site_label
_atom_site_fract_x
_atom_site_fract_y
_atom_site_fract_z
Li1 0.000 0.000 0.000
C1 0.500 0.500 0.500
Se1 0.500 0.500 0.000
N1 0.000 0.500 0.500
```

Values from the calculation:
Its energy relative to the elements, uncorrected is 160 kJ per mole of atoms.



Record 6
This record from the Alexandria database describes an optimized crystal structure of Te2AsOsN. The functional is GGA-PBE.

Cell and atoms, written as CIF:
```
data_Te2AsOsN
_chemical_formula_sum 'Te2 As1 Os1 N1'
_space_group_name_H-M_alt 'P 4/m m m'
_space_group_IT_number 123
_space_group_name_Hall '-P 4 2'
_cell_length_a 5.362
_cell_length_b 5.362
_cell_length_c 3.487
_cell_angle_alpha 90.00
_cell_angle_beta 90.00
_cell_angle_gamma 90.00
loop_
_atom_site_label
_atom_site_fract_x
_atom_site_fract_y
_atom_site_fract_z
Te1 0.000 0.500 0.000
As1 0.000 0.000 0.000
Os1 0.500 0.500 0.500
N1 0.000 0.000 0.500
```

Values from the calculation:
Its energy relative to the elements, uncorrected is 140 kJ per mole of atoms.



Record 7
This record from the Alexandria database describes an optimized crystal structure of AcInTeAu. The functional is GGA-PBE.

Cell and atoms, written as CIF:
```
data_AcInTeAu
_chemical_formula_sum 'Ac4 In4 Te4 Au4'
_space_group_name_H-M_alt 'F -4 3 m'
_space_group_IT_number 216
_space_group_name_Hall 'F -4 2 3'
_cell_length_a 7.770
_cell_length_b 7.770
_cell_length_c 7.770
_cell_angle_alpha 90.00
_cell_angle_beta 90.00
_cell_angle_gamma 90.00
loop_
_atom_site_label
_atom_site_fract_x
_atom_site_fract_y
_atom_site_fract_z
Ac1 0.000 0.000 0.000
In1 0.000 0.000 0.500
Te1 0.250 0.250 0.250
Au1 0.250 0.250 0.750
```

Values from the calculation:
Its energy relative to the elements, uncorrected is -68 kJ per mole of atoms.



Record 8
This record from the Alexandria database describes an optimized crystal structure of ScAl3Ni2. The functional is GGA-PBE.

Cell and atoms, written as CIF:
```
data_ScAl3Ni2
_chemical_formula_sum 'Sc6 Al18 Ni12'
_space_group_name_H-M_alt 'C 1 2/m 1'
_space_group_IT_number 12
_cell_length_a 15.819
_cell_length_b 3.938
_cell_length_c 9.459
_cell_angle_alpha 90.00
_cell_angle_beta 109.04
_cell_angle_gamma 90.00
loop_
_space_group_symop_operation_xyz
'x,y,z'
'-x,-y,-z'
'-x,y,-z'
'x,-y,z'
'x+1/2,y+1/2,z'
'-x+1/2,-y+1/2,-z'
'-x+1/2,y+1/2,-z'
'x+1/2,-y+1/2,z'
loop_
_atom_site_label
_atom_site_fract_x
_atom_site_fract_y
_atom_site_fract_z
Sc1 0.000 0.000 0.000
Sc2 0.158 0.000 0.701
Al1 0.000 0.500 0.500
Al2 0.042 0.000 0.342
Al3 0.124 0.500 0.195
Al4 0.178 0.500 0.962
Al5 0.217 0.000 0.394
Ni1 0.028 0.500 0.780
Ni2 0.135 0.500 0.450
Ni3 0.195 0.000 0.128
```

Values from the calculation:
The calculation puts the formation energy from the elements at -531 meV per atom.



Record 9
This record from the Alexandria database describes an optimized crystal structure of La2Zn5Pt3. The functional is GGA-PBE.

Cell and atoms, written as CIF:
```
data_La2Zn5Pt3
_chemical_formula_sum 'La8 Zn20 Pt12'
_space_group_name_H-M_alt 'I b a m'
_space_group_IT_number 72
_space_group_name_Hall '-I 2 2c'
_cell_length_a 10.695
_cell_length_b 12.803
_cell_length_c 5.725
_cell_angle_alpha 90.00
_cell_angle_beta 90.00
_cell_angle_gamma 90.00
loop_
_atom_site_label
_atom_site_fract_x
_atom_site_fract_y
_atom_site_fract_z
La1 0.219 0.140 0.000
Zn1 0.000 0.000 0.250
Zn2 0.000 0.295 0.250
Zn3 0.164 0.408 0.000
Pt1 0.000 0.500 0.250
Pt2 0.108 0.149 0.500
```

Values from the calculation:
The calculation puts the formation energy from the elements at -713 meV per atom.



Record 10
This record from the Alexandria database describes an optimized crystal structure of Pr6Nd12Mg. The functional is GGA-PBE.

Cell and atoms, written as CIF:
```
data_Pr6Nd12Mg
_chemical_formula_sum 'Pr18 Nd36 Mg3'
_space_group_name_H-M_alt 'R -3'
_space_group_IT_number 148
_space_group_name_Hall '-R 3'
_cell_length_a 12.2980
_cell_length_b 12.2980
_cell_length_c 15.4397
_cell_angle_alpha 90.00
_cell_angle_beta 90.00
_cell_angle_gamma 120.00
loop_
_atom_site_label
_atom_site_fract_x
_atom_site_fract_y
_atom_site_fract_z
Pr1 0.0171 0.4253 0.1880
Nd1 0.0065 0.1754 0.3125
Nd2 0.0494 0.8503 0.9164
Mg1 0.0000 0.0000 0.5000
```

Values from the calculation:
The calculation puts the formation energy from the elements at 109 meV per atom.



Record 11
This record from the Alexandria database describes an optimized crystal structure of ReAgS2N. The functional is GGA-PBE.

Cell and atoms, written as CIF:
```
data_ReAgS2N
_chemical_formula_sum 'Re1 Ag1 S2 N1'
_space_group_name_H-M_alt 'P 4/m m m'
_space_group_IT_number 123
_space_group_name_Hall '-P 4 2'
_cell_length_a 4.811
_cell_length_b 4.811
_cell_length_c 3.751
_cell_angle_alpha 90.00
_cell_angle_beta 90.00
_cell_angle_gamma 90.00
loop_
_atom_site_label
_atom_site_fract_x
_atom_site_fract_y
_atom_site_fract_z
Re1 0.000 0.000 0.000
Ag1 0.500 0.500 0.500
S1 0.000 0.500 0.000
N1 0.000 0.000 0.500
```

Values from the calculation:
Its energy relative to the elements, uncorrected is 33 kJ per mole of atoms.



Record 12
This record from the Alexandria database describes an optimized crystal structure of HfSc2F. The functional is GGA-PBE.

Cell and atoms, written as CIF:
```
data_HfSc2F
_chemical_formula_sum 'Hf4 Sc8 F4'
_space_group_name_H-M_alt 'I -4 2 d'
_space_group_IT_number 122
_space_group_name_Hall 'I -4 2bw'
_cell_length_a 6.620
_cell_length_b 6.620
_cell_length_c 7.570
_cell_angle_alpha 90.00
_cell_angle_beta 90.00
_cell_angle_gamma 90.00
loop_
_atom_site_label
_atom_site_fract_x
_atom_site_fract_y
_atom_site_fract_z
Hf1 0.000 0.000 0.000
Sc1 0.127 0.250 0.625
F1 0.000 0.000 0.500
```

Values from the calculation:
Its energy relative to the elements, uncorrected is -85 kJ per mole of atoms.



| no. | mass density (g/cm³) |
| --- | --- |
| 1 | 5.545 |
| 2 | 12.572 |
| 3 | 6.045 |
| 4 | 2.714 |
| 5 | 2.700 |
| 6 | 8.850 |
| 7 | 9.437 |
| 8 | 4.352 |
| 9 | 10.083 |
| 10 | 6.406 |
| 11 | 7.120 |
| 12 | 5.755 |